This record from Alexandria via LeMat-Bulk describes an optimized crystal structure of AsPSe. The functional is PBE.

Computed properties:
- total moment (μB per formula unit) = 0.000

abc: 4.445 4.445 4.445
angles: 60.00 60.00 60.00
Fractional coordinates of all 3 atoms:
As (0.500, 0.500, 0.500)
P (0.750, 0.750, 0.750)
Se (0.000, 0.000, 0.000)

This record from Alexandria via LeMat-Bulk describes an optimized crystal structure of As2PSe. The functional is PBE.

Computed properties:
- total moment (μB per formula unit) = 0.000

abc: 4.695 4.695 4.695
angles: 60.00 60.00 60.00
Fractional coordinates of all 4 atoms:
P (0.000, 0.000, 0.000)
As (0.250, 0.250, 0.250)
As (0.750, 0.750, 0.750)
Se (0.500, 0.500, 0.500)

This record from Alexandria via LeMat-Bulk describes an optimized crystal structure of AsP2Se. The functional is PBE.

Computed properties:
- total moment (μB per formula unit) = 0.000

abc: 6.559 6.559 6.559
angles: 32.61 32.61 32.61
Fractional coordinates of all 4 atoms:
As (0.750, 0.750, 0.750)
P (0.004, 0.004, 0.004)
P (0.496, 0.496, 0.496)
Se (0.250, 0.250, 0.250)

| no. | Fermi-level density of states (states/eV/cell) | ΔE_f (raw) (eV/atom) | electronic total energy (eV/cell) |
| --- | --- | --- | --- |
| 1 | 1.081 | 0.543 | -11.91 |
| 2 | 1.903 | 0.541 | -16.03 |
| 3 | 1.771 | 0.243 | -17.98 |